Entry 1:
Crystalline Ac2Si2Ni3 at its relaxed geometry, computed with GGA-PBE.

**DFT total energy**: -5.710 eV/atom
**Theoretical density**: 8.40 g/cm³
**Uncorrected formation energy**: -49.1 kJ/mol of atoms

abc: 3.8313 6.0624 7.0781
angles: 117.97 90.00 108.42
Fractional positions:
1 Ac 0.1336 0.2672 0.7564
2 Ac 0.8664 0.7328 0.2436
3 Si 0.1363 0.2726 0.2211
4 Si 0.8637 0.7274 0.7789
5 Ni 0.5000 0.0000 0.0000
6 Ni 0.3388 0.6776 0.5801
7 Ni 0.6612 0.3224 0.4199


Entry 2:
Crystalline LaSmSc2Tl4 at its relaxed geometry, computed with GGA-PBE.

**DFT total energy**: -4.283 eV/atom
**Theoretical density**: 9.20 g/cm³

abc: 5.3377 5.3377 9.2770
angles: 73.28 73.28 60.00
Fractional positions:
1 La 0.0000 0.0000 0.0000
2 Sc 0.7502 0.7502 0.7492
3 Sc 0.2498 0.2498 0.2508
4 Tl 0.8735 0.8735 0.3796
5 Tl 0.1265 0.1265 0.6204
6 Tl 0.3767 0.3767 0.8698
7 Tl 0.6233 0.6233 0.1302
8 Sm 0.5000 0.5000 0.5000